[1]
# SmGa9Co2 (PBE-GGA, optimized geometry)
# Fermi-level density of states (states/eV/cell): 4.9
# Magnetization (μB/f.u.): 0.000
# Excess energy over the best structure of this formula in the dataset (meV/atom): 0
# DFT formation energy (eV/atom): -0.29
data_SmGa9Co2
_chemical_formula_sum 'Sm1 Ga9 Co2'
_symmetry_space_group_name_H-M 'P 6/m m m'
_symmetry_Int_Tables_number 191
_symmetry_space_group_name_Hall '-P 6 2'
_cell_length_a 7.9389
_cell_length_b 7.9389
_cell_length_c 3.7554
_cell_angle_alpha 90.00
_cell_angle_beta 90.00
_cell_angle_gamma 120.00
loop_
_atom_site_label
_atom_site_fract_x
_atom_site_fract_y
_atom_site_fract_z
_atom_site_occupancy
Sm1 0.0000 0.0000 0.0000 1
Ga1 0.0000 0.5000 0.0000 1
Ga2 0.2042 0.4083 0.5000 1
Co1 0.3333 0.6667 0.0000 1

[2]
# Rb3BiCl (PBE-GGA, optimized geometry)
# Fermi-level density of states (states/eV/cell): 5.3
# Magnetization (μB/f.u.): 1.000
# Excess energy over the best structure of this formula in the dataset (meV/atom): 0
# Raw formation energy (kcal/mol of atoms): -19.2
data_Rb3BiCl
_chemical_formula_sum 'Rb3 Bi1 Cl1'
_symmetry_space_group_name_H-M 'P m -3 m'
_symmetry_Int_Tables_number 221
_symmetry_space_group_name_Hall '-P 4 2 3'
_cell_length_a 6.2652
_cell_length_b 6.2652
_cell_length_c 6.2652
_cell_angle_alpha 90.00
_cell_angle_beta 90.00
_cell_angle_gamma 90.00
loop_
_atom_site_label
_atom_site_fract_x
_atom_site_fract_y
_atom_site_fract_z
_atom_site_occupancy
Rb1 0.0000 0.0000 0.5000 1
Bi1 0.5000 0.5000 0.5000 1
Cl1 0.0000 0.0000 0.0000 1

[3]
# CrCu3Cl (PBE-GGA, optimized geometry)
# Fermi-level density of states (states/eV/cell): 4.4
# Magnetization (μB/f.u.): 4.809
# Raw formation energy (kcal/mol of atoms): 27.6
data_CrCu3Cl
_chemical_formula_sum 'Cr1 Cu3 Cl1'
_symmetry_space_group_name_H-M 'P m -3 m'
_symmetry_Int_Tables_number 221
_symmetry_space_group_name_Hall '-P 4 2 3'
_cell_length_a 4.7239
_cell_length_b 4.7239
_cell_length_c 4.7239
_cell_angle_alpha 90.00
_cell_angle_beta 90.00
_cell_angle_gamma 90.00
loop_
_atom_site_label
_atom_site_fract_x
_atom_site_fract_y
_atom_site_fract_z
_atom_site_occupancy
Cr1 0.0000 0.0000 0.0000 1
Cu1 0.0000 0.0000 0.5000 1
Cl1 0.5000 0.5000 0.5000 1